Record 1
A relaxed structure of PrPaTe2O8, computed with PBE.

CIF file:
```
data_PrPaTe2O8
_chemical_formula_sum 'Pr2 Pa2 Te4 O16'
_cell_length_a 7.410
_cell_length_b 7.410
_cell_length_c 7.201
_cell_angle_alpha 90.00
_cell_angle_beta 90.00
_cell_angle_gamma 90.00
_space_group_name_H-M_alt 'I -4 m 2'
_space_group_IT_number 119
_space_group_name_Hall 'I -4 -2'
loop_
_atom_site_label
_atom_site_fract_x
_atom_site_fract_y
_atom_site_fract_z
_atom_site_occupancy
Pr1 0.000 0.000 0.000 1
Pa1 0.000 0.500 0.750 1
Te1 0.000 0.000 0.500 1
Te2 0.000 0.500 0.250 1
O1 0.000 0.199 0.697 1
O2 0.000 0.321 0.034 1
```

total magnetization: 0.000 Bohr magnetons per cell
raw formation energy: -2.061 eV per atom
calculated total energy: -85.0 eV/f.u.

Record 2
A relaxed structure of Pr2PaTeO8, computed with PBE.

CIF file:
```
data_Pr2PaTeO8
_chemical_formula_sum 'Pr2 Pa1 Te1 O8'
_cell_length_a 4.043
_cell_length_b 7.551
_cell_length_c 5.565
_cell_angle_alpha 90.00
_cell_angle_beta 95.76
_cell_angle_gamma 90.00
_space_group_name_H-M_alt 'P 1 2/m 1'
_space_group_IT_number 10
loop_
_space_group_symop_operation_xyz
'x,y,z'
'-x,-y,-z'
'-x,y,-z'
'x,-y,z'
loop_
_atom_site_label
_atom_site_fract_x
_atom_site_fract_y
_atom_site_fract_z
_atom_site_occupancy
Pr1 0.000 0.244 0.000 1
Pa1 0.500 0.500 0.500 1
Te1 0.500 0.000 0.500 1
O1 0.047 0.500 0.268 1
O2 0.069 0.000 0.276 1
O3 0.453 0.242 0.727 1
```

total magnetization: 0.000 Bohr magnetons per cell
raw formation energy: -2.661 eV per atom
calculated total energy: -93.8 eV/f.u.